[1]
## ErP2S6 (PBE-GGA)

Data for crystalline ErP2S6 at its relaxed geometry.

Unit cell a=6.348 b=6.348 c=8.186 alpha=67.19 beta=67.19 gamma=60.00
Each line ends with the local moment (μB).
Atoms (fractional coordinates):
1 Er 0.333 0.333 0.000  0.01
2 P 0.719 0.719 0.844  0.00
3 P 0.614 0.614 0.157  0.00
4 S 0.725 0.450 0.764  0.05
5 S 0.061 0.725 0.764  0.05
6 S 0.450 0.061 0.764  0.05
7 S 0.293 0.566 0.237  0.05
8 S 0.904 0.293 0.237  0.05
9 S 0.566 0.904 0.237  0.05

Properties
- ΔE_f (raw): -0.62 eV/atom

***

[2]
## Er5P4S (PBE-GGA)

Data for crystalline Er5P4S at its relaxed geometry.

Unit cell a=5.584 b=6.841 c=6.841 alpha=80.41 beta=65.91 gamma=65.91
Atoms (fractional coordinates):
1 Er 0.899 0.405 0.798
2 Er 0.305 0.798 0.595
3 Er 0.697 0.202 0.405
4 Er 0.102 0.595 0.202
5 Er 0.501 0.000 0.000
6 P 0.400 0.399 0.802
7 P 0.799 0.802 0.601
8 P 0.203 0.198 0.399
9 P 0.602 0.601 0.198
10 S 0.001 0.000 0.000

Properties
- ΔE_f (raw): -1.74 eV/atom

***

[3]
## ErScPS (PBE-GGA)

Data for crystalline ErScPS at its relaxed geometry.

Unit cell a=3.762 b=3.762 c=6.926 alpha=90.00 beta=105.75 gamma=120.00
Atoms (fractional coordinates):
1 Er 0.480 0.138 0.634
2 Sc 0.123 0.959 0.098
3 P 0.314 0.555 0.885
4 S 0.960 0.378 0.353

Properties
- ΔE_f (raw): -1.70 eV/atom

***

[4]
## Er6PSe3S2 (PBE-GGA)

Data for crystalline Er6PSe3S2 at its relaxed geometry.

Unit cell a=6.830 b=6.830 c=6.972 alpha=99.38 beta=99.38 gamma=119.98
Atoms (fractional coordinates):
1 Er 0.925 0.596 0.776
2 Er 0.746 0.746 0.224
3 Er 0.075 0.404 0.224
4 Er 0.596 0.925 0.776
5 Er 0.254 0.254 0.776
6 Er 0.404 0.075 0.224
7 P 0.000 0.000 0.000
8 Se 0.168 0.832 0.500
9 Se 0.832 0.168 0.500
10 Se 0.500 0.500 0.500
11 S 0.333 0.667 0.000
12 S 0.667 0.333 0.000

Properties
- ΔE_f (raw): -1.82 eV/atom

***

[5]
## Er6P3SeS2 (PBE-GGA)

Data for crystalline Er6P3SeS2 at its relaxed geometry.

Unit cell a=3.943 b=7.920 c=8.851 alpha=103.32 beta=102.87 gamma=90.00
Atoms (fractional coordinates):
1 Er 0.328 0.921 0.656
2 Er 0.665 0.588 0.330
3 Er 0.672 0.079 0.344
4 Er 0.998 0.264 0.997
5 Er 0.002 0.736 0.003
6 Er 0.335 0.412 0.670
7 P 0.500 0.500 0.000
8 P 0.834 0.168 0.669
9 P 0.166 0.832 0.331
10 Se 0.500 0.000 0.000
11 S 0.833 0.667 0.666
12 S 0.167 0.333 0.334

Properties
- ΔE_f (raw): -1.82 eV/atom

***

[6]
## Er8P3Se3S (PBE-GGA)

Data for crystalline Er8P3Se3S at its relaxed geometry.

Unit cell a=7.897 b=7.895 c=7.965 alpha=119.72 beta=90.00 gamma=120.00
Atoms (fractional coordinates):
1 Er 0.258 0.515 0.273
2 Er 0.742 0.485 0.727
3 Er 0.753 0.507 0.267
4 Er 0.247 0.493 0.733
5 Er 0.753 0.014 0.267
6 Er 0.247 0.986 0.733
7 Er 0.260 0.014 0.267
8 Er 0.740 0.986 0.733
9 P 0.500 0.000 0.500
10 P 0.500 0.500 0.500
11 P 0.000 0.500 0.500
12 Se 0.000 0.000 0.000
13 Se 0.000 0.500 0.000
14 Se 0.500 0.500 0.000
15 S 0.000 0.000 0.500

Properties
- ΔE_f (raw): -1.64 eV/atom

***

[7]
## Er8P3Se4S (PBE-GGA)

Data for crystalline Er8P3Se4S at its relaxed geometry.

Unit cell a=7.936 b=8.046 c=7.936 alpha=119.55 beta=120.00 gamma=90.00
Atoms (fractional coordinates):
1 Er 0.244 0.727 0.983
2 Er 0.244 0.727 0.489
3 Er 0.258 0.273 0.515
4 Er 0.738 0.727 0.983
5 Er 0.262 0.273 0.017
6 Er 0.742 0.727 0.485
7 Er 0.756 0.273 0.511
8 Er 0.756 0.273 0.017
9 P 0.500 0.500 0.000
10 P 0.500 0.500 0.500
11 P 0.000 0.500 0.500
12 Se 0.500 0.000 0.000
13 Se 0.500 0.000 0.500
14 Se 0.000 0.000 0.000
15 Se 0.000 0.000 0.500
16 S 0.000 0.500 0.000

Properties
- ΔE_f (raw): -1.79 eV/atom

***

[8]
## Er3PSeS (PBE-GGA)

Data for crystalline Er3PSeS at its relaxed geometry.

Unit cell a=6.580 b=6.637 c=7.729 alpha=64.57 beta=82.02 gamma=71.14
Each line ends with the local moment (μB).
Atoms (fractional coordinates):
1 Er 0.499 0.828 0.855  0.01
2 Er 0.001 0.317 0.855  0.01
3 Er 0.750 0.251 0.498  0.07
4 Er 0.501 0.172 0.145  0.01
5 Er 0.999 0.683 0.145  0.01
6 Er 0.250 0.749 0.502  0.07
7 P 0.750 0.064 0.871  0.00
8 P 0.250 0.936 0.129  0.00
9 Se 0.250 0.250 0.499  0.00
10 Se 0.750 0.750 0.501  0.00
11 S 0.250 0.559 0.881  0.00
12 S 0.750 0.441 0.119  0.00

Properties
- ΔE_f (raw): -1.45 eV/atom

***

| no. | electronic total energy (eV per atom) |
| --- | --- |
| 1 | -5.0805 |
| 2 | -6.6013 |
| 3 | -6.8127 |
| 4 | -6.1152 |
| 5 | -6.4307 |
| 6 | -6.1257 |
| 7 | -6.2118 |
| 8 | -5.9049 |